The following is a DFT calculation (PBE) of crystalline Pm2Pr6Sm3Ho at its relaxed geometry.

Cell: 6.3649 6.3649 12.1033 Å, 95.03 95.03 120.01°
Element x y z (fractional)
Pm  0.1667  0.8333  0.0000
Pm  0.8333  0.1667  0.0000
Pr  0.0843  0.4166  0.7507
Pr  0.2508  0.2508  0.2498
Pr  0.4166  0.0843  0.7507
Pr  0.5834  0.9157  0.2493
Pr  0.7492  0.7492  0.7502
Pr  0.9157  0.5834  0.2493
Sm  0.0000  0.0000  0.5000
Sm  0.3334  0.6666  0.5000
Sm  0.6666  0.3334  0.5000
Ho  0.5000  0.5000  0.0000

Electronic total energy (eV/atom): -4.731
Calculated density (g cm⁻³): 7.0